Compound: Eu3Sb
Source: the Alexandria database
Functional: GGA-PBE
Structure: relaxed

ΔE to the lowest computed polymorph (kJ per mole of atoms): 0.0
Raw total energy (eV/f.u.): -37.235
D(E_F) (states/eV per cell): 7.0

Lattice parameters (Å, degrees): 7.2126 7.2126 5.7618 90.00 90.00 120.00
Fractional coordinates of all 8 atoms:
Eu: 0.1750 0.3500 0.2500
Eu: 0.1750 0.8250 0.2500
Eu: 0.3500 0.1750 0.7500
Eu: 0.6500 0.8250 0.2500
Eu: 0.8250 0.1750 0.7500
Eu: 0.8250 0.6500 0.7500
Sb: 0.3333 0.6667 0.7500
Sb: 0.6667 0.3333 0.2500